Entry 1:
The following is a DFT calculation (PBE-GGA) of HfZr3V8 after structural relaxation.

Values from the calculation:
Calculated formation energy   0.04 eV/atom
Crystal system   trigonal
Symmetry   R3m

abc: 5.196 5.196 8.992
angles: 73.21 73.21 60.00
Element x y z (fractional)
Hf 0.875 0.875 0.376
Zr 0.375 0.375 0.875
Zr 0.000 0.000 0.001
Zr 0.500 0.500 0.499
V 0.936 0.437 0.190
V 0.440 0.938 0.685
V 0.437 0.437 0.190
V 0.938 0.938 0.685
V 0.188 0.188 0.436
V 0.687 0.687 0.939
V 0.437 0.936 0.190
V 0.938 0.440 0.685



Entry 2:
The following is a DFT calculation (PBE-GGA) of Hf2ZrV after structural relaxation.

Values from the calculation:
Energy relative to the lowest polymorph listed for this composition   1.46 eV per formula unit
Calculated formation energy   0.48 eV/atom
Crystal system   trigonal
Symmetry   R-3m

abc: 3.062 3.062 10.514
angles: 81.63 81.63 60.00
Element x y z (fractional)
Hf 0.083 0.083 0.750
Hf 0.917 0.917 0.250
Zr 0.500 0.500 0.500
V 0.000 0.000 0.000



calculated formation energy of number 2 (Hf2ZrV)? 0.48 eV/atom



What is the calculated formation energy in the second record? 0.48 eV/atom